[1]
Density functional theory data (GGA-PBE) for a relaxed KLi2W crystal.

Computed properties:
Final energy (eV per atom): -3.60
Polymorph energy (0 for the lowest one) (meV/atom): 102
Magnetization (μB per formula unit): 0.000
Energy of formation from the pure elements (meV per atom): 872

Unit cell a=4.699 b=2.603 c=7.536 alpha=76.68 beta=90.00 gamma=90.00
Element x y z (fractional)
Li1 0.000 0.628 0.415
W1 0.500 0.250 0.250
K1 0.500 0.750 0.750
Li2 0.000 0.872 0.085

[2]
Density functional theory data (GGA-PBE) for a relaxed KLiW2 crystal.

Computed properties:
Final energy (eV per atom): -6.02
Polymorph energy (0 for the lowest one) (meV/atom): 459
Magnetization (μB per formula unit): 0.000
Energy of formation from the pure elements (meV per atom): 1206

Unit cell a=2.645 b=2.645 c=10.880 alpha=90.00 beta=90.00 gamma=90.00
Element x y z (fractional)
K1 0.500 0.500 0.250
Li1 0.500 0.500 0.750
W1 0.000 0.000 0.539
W2 0.000 0.000 0.961

[3]
Density functional theory data (GGA-PBE) for a relaxed KLi2W crystal.

Computed properties:
Final energy (eV per atom): -3.45
Polymorph energy (0 for the lowest one) (meV/atom): 247
Magnetization (μB per formula unit): 1.026
Energy of formation from the pure elements (meV per atom): 1017

Unit cell a=6.488 b=6.488 c=6.488 alpha=156.28 beta=129.04 gamma=56.94
Last column: magnetic moment on the atom in μB.
Element x y z (fractional)
Li1 0.980 0.980 0.000  0.01
W1 0.530 0.530 0.000  0.67
Li2 0.749 0.249 0.500  0.01
K1 0.241 0.741 0.500  0.01

[4]
Density functional theory data (GGA-PBE) for a relaxed KLiW2 crystal.

Computed properties:
Final energy (eV per atom): -5.73
Polymorph energy (0 for the lowest one) (meV/atom): 750
Magnetization (μB per formula unit): 0.000
Energy of formation from the pure elements (meV per atom): 1498

Unit cell a=4.686 b=4.686 c=4.686 alpha=60.00 beta=60.00 gamma=60.00
Element x y z (fractional)
W1 0.000 0.000 0.000
Li1 0.750 0.750 0.750
K1 0.500 0.500 0.500
W2 0.250 0.250 0.250

[5]
Density functional theory data (GGA-PBE) for a relaxed KLiW2 crystal.

Computed properties:
Final energy (eV per atom): -4.79
Polymorph energy (0 for the lowest one) (meV/atom): 1694
Magnetization (μB per formula unit): 0.000
Energy of formation from the pure elements (meV per atom): 2441

Unit cell a=4.657 b=4.657 c=4.657 alpha=60.00 beta=60.00 gamma=60.00
Element x y z (fractional)
Li1 0.000 0.000 0.000
W1 0.250 0.250 0.250
W2 0.750 0.750 0.750
K1 0.500 0.500 0.500

[6]
Density functional theory data (GGA-PBE) for a relaxed K2LiW crystal.

Computed properties:
Final energy (eV per atom): -2.92
Polymorph energy (0 for the lowest one) (meV/atom): 223
Magnetization (μB per formula unit): 0.000
Energy of formation from the pure elements (meV per atom): 1347

Unit cell a=6.032 b=2.738 c=6.494 alpha=89.48 beta=90.00 gamma=90.00
Element x y z (fractional)
Li1 0.500 0.250 0.250
W1 0.500 0.750 0.750
K1 0.000 0.259 0.509
K2 0.000 0.241 0.991

[7]
Density functional theory data (GGA-PBE) for a relaxed KLiW2 crystal.

Computed properties:
Final energy (eV per atom): -6.07
Polymorph energy (0 for the lowest one) (meV/atom): 411
Magnetization (μB per formula unit): 0.000
Energy of formation from the pure elements (meV per atom): 1158

Unit cell a=5.857 b=2.779 c=4.873 alpha=82.19 beta=90.00 gamma=90.00
Element x y z (fractional)
Li1 0.500 0.750 0.750
W1 0.000 0.507 0.502
K1 0.500 0.250 0.250
W2 0.000 0.993 0.998

[8]
Density functional theory data (GGA-PBE) for a relaxed KLiW2 crystal.

Computed properties:
Final energy (eV per atom): -6.39
Polymorph energy (0 for the lowest one) (meV/atom): 92
Magnetization (μB per formula unit): 0.000
Energy of formation from the pure elements (meV per atom): 840

Unit cell a=4.087 b=2.751 c=8.294 alpha=79.18 beta=90.00 gamma=90.00
Element x y z (fractional)
Li1 0.500 0.712 0.835
W1 0.500 0.290 0.165
K1 0.000 0.446 0.489
W2 0.000 0.052 0.012

[9]
Density functional theory data (GGA-PBE) for a relaxed K2LiW crystal.

Computed properties:
Final energy (eV per atom): -3.08
Polymorph energy (0 for the lowest one) (meV/atom): 61
Magnetization (μB per formula unit): 0.000
Energy of formation from the pure elements (meV per atom): 1186

Unit cell a=2.928 b=2.928 c=12.511 alpha=90.00 beta=90.00 gamma=90.00
Element x y z (fractional)
Li1 0.500 0.500 0.250
K1 0.000 0.000 0.978
W1 0.500 0.500 0.750
K2 0.000 0.000 0.522

[10]
Density functional theory data (GGA-PBE) for a relaxed KLi2W crystal.

Computed properties:
Final energy (eV per atom): -3.52
Polymorph energy (0 for the lowest one) (meV/atom): 180
Magnetization (μB per formula unit): 0.000
Energy of formation from the pure elements (meV per atom): 950

Unit cell a=8.064 b=5.527 c=2.625 alpha=90.05 beta=70.93 gamma=130.69
Element x y z (fractional)
W1 0.000 0.500 0.500
K1 0.500 0.500 0.000
Li1 0.500 0.000 0.500
Li2 0.000 0.000 0.000

[11]
Density functional theory data (GGA-PBE) for a relaxed K2LiW crystal.

Computed properties:
Final energy (eV per atom): -2.64
Polymorph energy (0 for the lowest one) (meV/atom): 498
Magnetization (μB per formula unit): 4.915
Energy of formation from the pure elements (meV per atom): 1622

Unit cell a=9.590 b=9.590 c=7.526 alpha=50.42 beta=50.42 gamma=90.00
Last column: magnetic moment on the atom in μB.
Element x y z (fractional)
Li1 0.250 0.750 0.500  0.01
Li2 0.500 0.500 0.000  0.01
K1 0.141 0.625 0.250  0.02
K2 0.875 0.859 0.750  0.02
W1 0.750 0.250 0.500  3.29
K3 0.609 0.125 0.250  0.02
K4 0.375 0.391 0.750  0.02
W2 0.000 0.000 0.000  3.29

[12]
Density functional theory data (GGA-PBE) for a relaxed KLi2ZrW crystal.

Computed properties:
Final energy (eV per atom): -3.73
Magnetization (μB per formula unit): 0.000
Energy of formation from the pure elements (meV per atom): 1552

Unit cell a=4.261 b=5.409 c=4.261 alpha=90.00 beta=90.00 gamma=90.00
Element x y z (fractional)
Li1 0.500 0.000 0.000
Zr1 0.500 0.500 0.500
K1 0.000 0.000 0.000
Li2 0.000 0.000 0.500
W1 0.000 0.500 0.000

[13]
Density functional theory data (GGA-PBE) for a relaxed KLiY2 crystal.

Computed properties:
Final energy (eV per atom): -3.78
Polymorph energy (0 for the lowest one) (meV/atom): 0
Magnetization (μB per formula unit): 1.021
Energy of formation from the pure elements (meV per atom): 210

Unit cell a=3.640 b=3.639 c=11.582 alpha=71.65 beta=90.00 gamma=90.00
Last column: magnetic moment on the atom in μB.
Element x y z (fractional)
Li1 0.500 0.712 0.789  0.00
K1 0.000 0.482 0.520  0.00
Y1 0.500 0.296 0.203  0.29
Y2 0.000 0.011 0.988  0.21

[14]
Density functional theory data (GGA-PBE) for a relaxed KLiY3 crystal.

Computed properties:
Final energy (eV per atom): -3.87
Polymorph energy (0 for the lowest one) (meV/atom): 0
Magnetization (μB per formula unit): 0.000
Energy of formation from the pure elements (meV per atom): 609

Unit cell a=5.667 b=5.667 c=5.667 alpha=90.00 beta=90.00 gamma=90.00
Element x y z (fractional)
Y1 0.000 0.000 0.500
Li1 0.000 0.000 0.000
K1 0.500 0.500 0.500
Y2 0.500 0.000 0.000
Y3 0.000 0.500 0.000

[15]
Density functional theory data (GGA-PBE) for a relaxed KLi3Y crystal.

Computed properties:
Final energy (eV per atom): -1.91
Polymorph energy (0 for the lowest one) (meV/atom): 68
Magnetization (μB per formula unit): 1.703
Energy of formation from the pure elements (meV per atom): 752

Unit cell a=6.067 b=6.067 c=6.067 alpha=90.00 beta=90.00 gamma=90.00
Last column: magnetic moment on the atom in μB.
Element x y z (fractional)
Li1 0.000 0.000 0.500  0.03
Li2 0.500 0.000 0.000  0.03
K1 0.500 0.500 0.500  0.00
Li3 0.000 0.500 0.000  0.02
Y1 0.000 0.000 0.000  0.65

[16]
Density functional theory data (GGA-PBE) for a relaxed KLiY2 crystal.

Computed properties:
Final energy (eV per atom): -3.40
Polymorph energy (0 for the lowest one) (meV/atom): 373
Magnetization (μB per formula unit): 0.002
Energy of formation from the pure elements (meV per atom): 583

Unit cell a=6.454 b=6.454 c=6.454 alpha=133.52 beta=133.52 gamma=67.84
Element x y z (fractional)
Y1 0.000 0.000 0.000
Li1 0.750 0.250 0.500
K1 0.500 0.500 0.000
Y2 0.250 0.750 0.500

[17]
Density functional theory data (GGA-PBE) for a relaxed KLiY3 crystal.

Computed properties:
Final energy (eV per atom): -3.23
Polymorph energy (0 for the lowest one) (meV/atom): 641
Magnetization (μB per formula unit): 0.000
Energy of formation from the pure elements (meV per atom): 1251

Unit cell a=5.575 b=5.575 c=5.575 alpha=90.00 beta=90.00 gamma=90.00
Element x y z (fractional)
Y1 0.500 0.000 0.000
Y2 0.000 0.000 0.500
Li1 0.500 0.500 0.500
Y3 0.000 0.500 0.000
K1 0.000 0.000 0.000

[18]
Density functional theory data (GGA-PBE) for a relaxed KLiY2 crystal.

Computed properties:
Final energy (eV per atom): -3.64
Polymorph energy (0 for the lowest one) (meV/atom): 137
Magnetization (μB per formula unit): 0.000
Energy of formation from the pure elements (meV per atom): 347

Unit cell a=12.763 b=12.763 c=12.763 alpha=15.90 beta=15.90 gamma=15.90
Element x y z (fractional)
Y1 0.013 0.013 0.013
Y2 0.487 0.487 0.487
Li1 0.750 0.750 0.750
K1 0.250 0.250 0.250

[19]
Density functional theory data (GGA-PBE) for a relaxed K2Li2Y crystal.

Computed properties:
Final energy (eV per atom): -1.91
Polymorph energy (0 for the lowest one) (meV/atom): 160
Magnetization (μB per formula unit): 0.000
Energy of formation from the pure elements (meV per atom): 583

Unit cell a=5.849 b=5.849 c=7.003 alpha=65.32 beta=65.32 gamma=90.00
Element x y z (fractional)
K1 0.637 0.637 0.727
Li1 0.250 0.750 0.500
K2 0.363 0.363 0.273
Y1 0.000 0.000 0.000
Li2 0.750 0.250 0.500

[20]
Density functional theory data (GGA-PBE) for a relaxed KLiY2 crystal.

Computed properties:
Final energy (eV per atom): -3.39
Polymorph energy (0 for the lowest one) (meV/atom): 383
Magnetization (μB per formula unit): 0.000
Energy of formation from the pure elements (meV per atom): 592

Unit cell a=5.865 b=5.865 c=5.865 alpha=60.00 beta=60.00 gamma=60.00
Element x y z (fractional)
Y1 0.250 0.250 0.250
Li1 0.750 0.750 0.750
Y2 0.000 0.000 0.000
K1 0.500 0.500 0.500

[21]
Density functional theory data (GGA-PBE) for a relaxed KLiY2 crystal.

Computed properties:
Final energy (eV per atom): -3.52
Polymorph energy (0 for the lowest one) (meV/atom): 253
Magnetization (μB per formula unit): 1.306
Energy of formation from the pure elements (meV per atom): 463

Unit cell a=6.957 b=6.957 c=6.957 alpha=149.32 beta=126.58 gamma=62.87
Last column: magnetic moment on the atom in μB.
Element x y z (fractional)
Y1 0.024 0.024 0.000  0.29
K1 0.471 0.471 0.000  0.01
Li1 0.243 0.743 0.500  0.00
Y2 0.763 0.263 0.500  0.28

[22]
Density functional theory data (GGA-PBE) for a relaxed KLiY2 crystal.

Computed properties:
Final energy (eV per atom): -3.39
Polymorph energy (0 for the lowest one) (meV/atom): 390
Magnetization (μB per formula unit): 0.002
Energy of formation from the pure elements (meV per atom): 599

Unit cell a=5.733 b=5.733 c=5.733 alpha=60.00 beta=60.00 gamma=60.00
Element x y z (fractional)
K1 0.500 0.500 0.500
Li1 0.000 0.000 0.000
Y1 0.750 0.750 0.750
Y2 0.250 0.250 0.250

[23]
Density functional theory data (GGA-PBE) for a relaxed KLiY2 crystal.

Computed properties:
Final energy (eV per atom): -2.99
Polymorph energy (0 for the lowest one) (meV/atom): 790
Magnetization (μB per formula unit): 0.000
Energy of formation from the pure elements (meV per atom): 1000

Unit cell a=5.932 b=5.932 c=12.048 alpha=75.75 beta=75.75 gamma=90.00
Element x y z (fractional)
K1 0.750 0.250 0.500
Li1 0.250 0.750 0.500
Y1 0.875 0.625 0.750
Y2 0.375 0.625 0.250
Y3 0.375 0.125 0.250
K2 0.000 0.000 0.000
Y4 0.375 0.625 0.750
Li2 0.500 0.500 0.000

[24]
Density functional theory data (GGA-PBE) for a relaxed K2Li2Y crystal.

Computed properties:
Final energy (eV per atom): -2.07
Polymorph energy (0 for the lowest one) (meV/atom): 0
Magnetization (μB per formula unit): 0.000
Energy of formation from the pure elements (meV per atom): 423

Unit cell a=10.172 b=10.172 c=3.553 alpha=90.00 beta=90.00 gamma=90.00
Element x y z (fractional)
Li1 0.678 0.822 0.500
K1 0.869 0.631 0.000
K2 0.131 0.369 0.000
K3 0.369 0.869 0.000
Li2 0.822 0.322 0.500
K4 0.631 0.131 0.000
Y1 0.000 0.000 0.000
Li3 0.322 0.178 0.500
Li4 0.178 0.678 0.500
Y2 0.500 0.500 0.000

[25]
Density functional theory data (GGA-PBE) for a relaxed KLiY2 crystal.

Computed properties:
Final energy (eV per atom): -3.49
Polymorph energy (0 for the lowest one) (meV/atom): 287
Magnetization (μB per formula unit): 0.001
Energy of formation from the pure elements (meV per atom): 497

Unit cell a=7.135 b=7.135 c=7.135 alpha=141.15 beta=141.15 gamma=56.11
Element x y z (fractional)
Y1 0.000 0.000 0.000
K1 0.250 0.750 0.500
Y2 0.500 0.500 0.000
Li1 0.750 0.250 0.500

[26]
Density functional theory data (GGA-PBE) for a relaxed KLi3Y crystal.

Computed properties:
Final energy (eV per atom): -1.98
Polymorph energy (0 for the lowest one) (meV/atom): 0
Magnetization (μB per formula unit): 0.000
Energy of formation from the pure elements (meV per atom): 684

Unit cell a=5.293 b=5.293 c=5.293 alpha=90.00 beta=90.00 gamma=90.00
Element x y z (fractional)
K1 0.000 0.000 0.000
Li1 0.000 0.000 0.500
Li2 0.500 0.000 0.000
Li3 0.000 0.500 0.000
Y1 0.500 0.500 0.500

[27]
Density functional theory data (GGA-PBE) for a relaxed KLiY2 crystal.

Computed properties:
Final energy (eV per atom): -3.48
Polymorph energy (0 for the lowest one) (meV/atom): 293
Magnetization (μB per formula unit): 0.000
Energy of formation from the pure elements (meV per atom): 503

Unit cell a=7.158 b=7.158 c=3.346 alpha=90.00 beta=90.00 gamma=124.67
Element x y z (fractional)
Y1 0.000 0.000 0.000
Y2 0.500 0.500 0.000
Li1 0.000 0.500 0.500
K1 0.500 0.000 0.500

[28]
Density functional theory data (GGA-PBE) for a relaxed KLiY2 crystal.

Computed properties:
Final energy (eV per atom): -3.50
Polymorph energy (0 for the lowest one) (meV/atom): 272
Magnetization (μB per formula unit): 0.000
Energy of formation from the pure elements (meV per atom): 482

Unit cell a=6.227 b=4.745 c=4.745 alpha=90.00 beta=90.00 gamma=90.00
Element x y z (fractional)
Y1 0.000 0.000 0.000
K1 0.500 0.500 0.000
Li1 0.500 0.000 0.500
Y2 0.000 0.500 0.500

[29]
Density functional theory data (GGA-PBE) for a relaxed KLi2Y2 crystal.

Computed properties:
Final energy (eV per atom): -3.22
Polymorph energy (0 for the lowest one) (meV/atom): 0
Magnetization (μB per formula unit): 0.000
Energy of formation from the pure elements (meV per atom): 348

Unit cell a=9.844 b=9.844 c=3.400 alpha=90.00 beta=90.00 gamma=90.00
Element x y z (fractional)
Li1 0.830 0.670 0.000
K1 0.500 0.500 0.000
Y1 0.881 0.381 0.500
Y2 0.381 0.119 0.500
Li2 0.170 0.330 0.000
Li3 0.330 0.830 0.000
K2 0.000 0.000 0.000
Y3 0.119 0.619 0.500
Y4 0.619 0.881 0.500
Li4 0.670 0.170 0.000